# 1
The following is a DFT calculation (GGA-PBE) of a geometry-optimized CeHo2Te3 structure.

Output
The calculation puts the formation energy from raw total energies at -1.13 eV per atom. For the calculated total energy, the calculation gives -5.220 eV/atom.

a = 7.882 Å, b = 7.882 Å, c = 10.766 Å
α = 90.00°, β = 90.00°, γ = 146.96°
Element x y z (fractional)
Ce1 0.210 0.790 0.750
Ce2 0.790 0.210 0.250
Ho1 0.000 0.000 0.000
Ho2 0.000 0.000 0.500
Ho3 0.493 0.507 0.750
Ho4 0.507 0.493 0.250
Te1 0.135 0.865 0.250
Te2 0.362 0.638 0.053
Te3 0.362 0.638 0.447
Te4 0.638 0.362 0.553
Te5 0.638 0.362 0.947
Te6 0.865 0.135 0.750

***

# 2
The following is a DFT calculation (GGA-PBE) of a geometry-optimized CeHoTe2 structure.

Output
The calculation puts the formation energy from raw total energies at -1.17 eV per atom. For the calculated total energy, the calculation gives -5.371 eV/atom.

a = 7.623 Å, b = 7.623 Å, c = 7.623 Å
α = 90.00°, β = 90.00°, γ = 90.00°
Element x y z (fractional)
Ce1 0.000 0.000 0.000
Ce2 0.000 0.500 0.500
Ce3 0.500 0.000 0.500
Ce4 0.500 0.500 0.000
Ho1 0.000 0.000 0.500
Ho2 0.000 0.500 0.000
Ho3 0.500 0.000 0.000
Ho4 0.500 0.500 0.500
Te1 0.250 0.250 0.250
Te2 0.250 0.250 0.750
Te3 0.250 0.750 0.250
Te4 0.250 0.750 0.750
Te5 0.750 0.250 0.250
Te6 0.750 0.250 0.750
Te7 0.750 0.750 0.250
Te8 0.750 0.750 0.750

***

# 3
The following is a DFT calculation (GGA-PBE) of a geometry-optimized Ce2HoTe4 structure.

Output
The calculation puts the formation energy from raw total energies at -1.29 eV per atom. For the calculated total energy, the calculation gives -5.435 eV/atom.

a = 7.692 Å, b = 7.692 Å, c = 15.314 Å
α = 90.00°, β = 90.00°, γ = 147.77°
Element x y z (fractional)
Ce1 0.135 0.865 0.570
Ce2 0.135 0.865 0.930
Ce3 0.865 0.135 0.070
Ce4 0.865 0.135 0.430
Ho1 0.376 0.624 0.750
Ho2 0.624 0.376 0.250
Te1 0.027 0.973 0.750
Te2 0.216 0.784 0.127
Te3 0.216 0.784 0.373
Te4 0.500 0.500 0.000
Te5 0.500 0.500 0.500
Te6 0.784 0.216 0.627
Te7 0.784 0.216 0.873
Te8 0.973 0.027 0.250

***

# 4
The following is a DFT calculation (GGA-PBE) of a geometry-optimized CeHo4Te6 structure.

Output
The calculation puts the formation energy from raw total energies at -1.34 eV per atom. For the calculated total energy, the calculation gives -5.257 eV/atom.

a = 7.439 Å, b = 7.439 Å, c = 22.200 Å
α = 90.00°, β = 90.00°, γ = 146.31°
Element x y z (fractional)
Ce1 0.155 0.845 0.750
Ce2 0.845 0.155 0.250
Ho1 0.090 0.910 0.125
Ho2 0.090 0.910 0.375
Ho3 0.356 0.644 0.036
Ho4 0.356 0.644 0.464
Ho5 0.644 0.356 0.536
Ho6 0.644 0.356 0.964
Ho7 0.910 0.090 0.625
Ho8 0.910 0.090 0.875
Te1 0.000 0.000 0.000
Te2 0.000 0.000 0.500
Te3 0.179 0.821 0.250
Te4 0.266 0.734 0.593
Te5 0.266 0.734 0.907
Te6 0.450 0.550 0.163
Te7 0.450 0.550 0.337
Te8 0.550 0.450 0.663
Te9 0.550 0.450 0.837
Te10 0.734 0.266 0.093
Te11 0.734 0.266 0.407
Te12 0.821 0.179 0.750

***

> Look up the calculated total energy of the first one.

-5.220 eV/atom

***

> What is the formation energy from raw total energies in the second record?

-1.17 eV per atom

***

> Which formula does entry 2 have?

CeHoTe2